## 1
! GGA-PBE CrAu2Br, optimized geometry; values from VASP
&SYSTEM
  ibrav = 0, nat = 4, ntyp = 3
/
ATOMIC_SPECIES
Cr 52.00 Cr.upf
Au 196.97 Au.upf
Br 79.90 Br.upf
ATOMIC_POSITIONS crystal
Cr 0.0000 0.0000 0.0000
Au 0.5000 0.5000 0.2057
Au 0.5000 0.5000 0.7943
Br 0.0000 0.0000 0.5000
CELL_PARAMETERS angstrom
3.1319 0.0000 0.0000
0.0000 3.1319 0.0000
0.0000 0.0000 8.1502
! ρ: 10.922 g cm⁻³
! Calculated volume: 79.9 Å³ per cell
! Size of the total moment: 3.49 Bohr magnetons per cell
! Space-group type: P4/mmm


## 2
! GGA-PBE CrAu2Br, optimized geometry; values from VASP
&SYSTEM
  ibrav = 0, nat = 4, ntyp = 3
/
ATOMIC_SPECIES
Cr 52.00 Cr.upf
Au 196.97 Au.upf
Br 79.90 Br.upf
ATOMIC_POSITIONS crystal
Cr 0.0000 0.0000 0.0000
Au 0.4805 0.4805 0.3168
Au 0.7358 0.7358 0.1663
Br 0.4149 0.4149 0.7204
CELL_PARAMETERS angstrom
4.5936 -1.6705 0.0000
4.5936 1.6705 0.0000
-1.4452 0.0000 6.5127
! ρ: 8.736 g cm⁻³
! Calculated volume: 100.0 Å³ per cell
! Size of the total moment: 3.64 Bohr magnetons per cell
! Space-group type: Cm


## 3
! GGA-PBE CrAu2Br, optimized geometry; values from VASP
&SYSTEM
  ibrav = 0, nat = 4, ntyp = 3
/
ATOMIC_SPECIES
Cr 52.00 Cr.upf
Au 196.97 Au.upf
Br 79.90 Br.upf
ATOMIC_POSITIONS crystal
Cr 0.0000 0.0000 0.0000
Au 0.2607 0.2607 0.2607
Au 0.7393 0.7393 0.7393
Br 0.5000 0.5000 0.5000
CELL_PARAMETERS angstrom
1.7701 1.0220 7.6616
-1.7701 1.0220 7.6616
0.0000 -2.0440 7.6616
! ρ: 10.500 g cm⁻³
! Calculated volume: 83.2 Å³ per cell
! Size of the total moment: 3.11 Bohr magnetons per cell
! Space-group type: R-3m


## 4
! GGA-PBE CrAu2Br, optimized geometry; values from VASP
&SYSTEM
  ibrav = 0, nat = 4, ntyp = 3
/
ATOMIC_SPECIES
Cr 52.00 Cr.upf
Au 196.97 Au.upf
Br 79.90 Br.upf
ATOMIC_POSITIONS crystal
Cr 0.0000 0.0000 0.0000
Au 0.2260 0.7740 0.5000
Au 0.7740 0.2260 0.5000
Br 0.5000 0.5000 0.0000
CELL_PARAMETERS angstrom
2.6735 -4.5015 0.0000
2.6735 4.5015 0.0000
0.0000 0.0000 3.5297
! ρ: 10.277 g cm⁻³
! Calculated volume: 85.0 Å³ per cell
! Size of the total moment: 3.58 Bohr magnetons per cell
! Space-group type: Cmmm


Which structure loses on stability? 1 does.


## 1
! GGA-PBE CrAuBr, optimized geometry; values from VASP
&SYSTEM
  ibrav = 0, nat = 3, ntyp = 3
/
ATOMIC_SPECIES
Cr 52.00 Cr.upf
Au 196.97 Au.upf
Br 79.90 Br.upf
ATOMIC_POSITIONS crystal
Cr 0.0000 0.0000 0.0000
Au 0.2500 0.2500 0.2500
Br 0.7500 0.7500 0.7500
CELL_PARAMETERS angstrom
0.0000 3.2548 3.2548
3.2548 0.0000 3.2548
3.2548 3.2548 0.0000
! ρ: 7.919 g cm⁻³
! Calculated volume: 69.0 Å³ per cell
! Size of the total moment: 4.00 Bohr magnetons per cell
! Space-group type: F-43m


## 2
! GGA-PBE CrAuBr, optimized geometry; values from VASP
&SYSTEM
  ibrav = 0, nat = 3, ntyp = 3
/
ATOMIC_SPECIES
Cr 52.00 Cr.upf
Au 196.97 Au.upf
Br 79.90 Br.upf
ATOMIC_POSITIONS crystal
Cr 0.0000 0.0000 0.0000
Au 0.6306 0.6306 0.0000
Br 0.3692 0.3692 0.0000
CELL_PARAMETERS angstrom
-1.6162 1.6162 6.2536
1.6162 -1.6162 6.2536
1.6162 1.6162 -6.2536
! ρ: 8.358 g cm⁻³
! Calculated volume: 65.3 Å³ per cell
! Size of the total moment: 4.03 Bohr magnetons per cell
! Space-group type: I4mm


## 3
! GGA-PBE CrAuBr, optimized geometry; values from VASP
&SYSTEM
  ibrav = 0, nat = 3, ntyp = 3
/
ATOMIC_SPECIES
Cr 52.00 Cr.upf
Au 196.97 Au.upf
Br 79.90 Br.upf
ATOMIC_POSITIONS crystal
Cr 0.0000 0.0000 0.0000
Au 0.6404 0.6404 0.3596
Br 0.3671 0.3671 0.6329
CELL_PARAMETERS angstrom
0.0000 2.7629 6.4164
1.9008 0.0000 6.4164
1.9008 2.7629 0.0000
! ρ: 8.103 g cm⁻³
! Calculated volume: 67.4 Å³ per cell
! Size of the total moment: 4.06 Bohr magnetons per cell
! Space-group type: Fmm2


## 4
! GGA-PBE CrAuBr, optimized geometry; values from VASP
&SYSTEM
  ibrav = 0, nat = 3, ntyp = 3
/
ATOMIC_SPECIES
Cr 52.00 Cr.upf
Au 196.97 Au.upf
Br 79.90 Br.upf
ATOMIC_POSITIONS crystal
Cr 0.0000 0.0000 0.0000
Au 0.6667 0.3333 0.2755
Br 0.3333 0.6667 0.7351
CELL_PARAMETERS angstrom
3.6028 0.0000 0.0000
-1.8014 3.1201 0.0000
0.0000 0.0000 6.0928
! ρ: 7.973 g cm⁻³
! Calculated volume: 68.5 Å³ per cell
! Size of the total moment: 4.00 Bohr magnetons per cell
! Space-group type: P3m1


Which structure loses on stability? 1 does.


## 1
! GGA-PBE Cr2AuBr, optimized geometry; values from VASP
&SYSTEM
  ibrav = 0, nat = 4, ntyp = 3
/
ATOMIC_SPECIES
Cr 52.00 Cr.upf
Au 196.97 Au.upf
Br 79.90 Br.upf
ATOMIC_POSITIONS crystal
Cr 0.2500 0.2500 0.2500
Cr 0.7500 0.7500 0.7500
Au 0.0000 0.0000 0.0000
Br 0.5000 0.5000 0.5000
CELL_PARAMETERS angstrom
0.0000 3.1134 3.1134
3.1134 0.0000 3.1134
3.1134 3.1134 0.0000
! ρ: 10.478 g cm⁻³
! Calculated volume: 60.4 Å³ per cell
! Size of the total moment: 0.00 Bohr magnetons per cell
! Space-group type: Fm-3m


## 2
! GGA-PBE Cr2AuBr, optimized geometry; values from VASP
&SYSTEM
  ibrav = 0, nat = 4, ntyp = 3
/
ATOMIC_SPECIES
Cr 52.00 Cr.upf
Au 196.97 Au.upf
Br 79.90 Br.upf
ATOMIC_POSITIONS crystal
Cr 0.0000 0.0000 0.0000
Cr 0.5000 0.5000 0.1700
Au 0.0000 0.0000 0.3879
Br 0.5000 0.5000 0.7769
CELL_PARAMETERS angstrom
3.3663 0.0000 0.0000
0.0000 3.3663 0.0000
0.0000 0.0000 6.8469
! ρ: 8.151 g cm⁻³
! Calculated volume: 77.6 Å³ per cell
! Size of the total moment: 0.05 Bohr magnetons per cell
! Space-group type: P4mm


## 3
! GGA-PBE Cr2AuBr, optimized geometry; values from VASP
&SYSTEM
  ibrav = 0, nat = 4, ntyp = 3
/
ATOMIC_SPECIES
Cr 52.00 Cr.upf
Au 196.97 Au.upf
Br 79.90 Br.upf
ATOMIC_POSITIONS crystal
Cr 0.0000 0.0000 0.0000
Cr 0.7819 0.2819 0.5000
Au 0.3566 0.8566 0.5000
Br 0.6143 0.6143 0.0000
CELL_PARAMETERS angstrom
-1.6715 1.9486 6.5691
1.6715 -1.9486 6.5691
1.6715 1.9486 -6.5691
! ρ: 7.390 g cm⁻³
! Calculated volume: 85.6 Å³ per cell
! Size of the total moment: 8.87 Bohr magnetons per cell
! Space-group type: Imm2


## 4
! GGA-PBE Cr2AuBr, optimized geometry; values from VASP
&SYSTEM
  ibrav = 0, nat = 8, ntyp = 3
/
ATOMIC_SPECIES
Cr 52.00 Cr.upf
Au 196.97 Au.upf
Br 79.90 Br.upf
ATOMIC_POSITIONS crystal
Cr 0.1251 0.6250 0.0001
Cr 0.3750 0.3751 0.5001
Cr 0.6249 0.1250 0.9999
Cr 0.8750 0.8749 0.4999
Au 0.0000 0.0000 0.0000
Au 0.7500 0.2500 0.5000
Br 0.2500 0.7500 0.5000
Br 0.5000 0.5000 0.0000
CELL_PARAMETERS angstrom
-3.0312 3.0312 6.2594
3.0312 -3.0312 6.2594
3.0312 3.0312 -6.2594
! ρ: 5.498 g cm⁻³
! Calculated volume: 230.1 Å³ per cell
! Size of the total moment: 19.69 Bohr magnetons per cell
! Space-group type: I-42d


Which structure loses on stability? 1 does.


## 1
! GGA-PBE Cr2AuBr, optimized geometry; values from VASP
&SYSTEM
  ibrav = 0, nat = 4, ntyp = 3
/
ATOMIC_SPECIES
Cr 52.00 Cr.upf
Au 196.97 Au.upf
Br 79.90 Br.upf
ATOMIC_POSITIONS crystal
Cr 0.2447 0.2447 0.0000
Cr 0.7553 0.7553 0.0000
Au 0.5000 0.0000 0.5000
Br 0.0000 0.5000 0.5000
CELL_PARAMETERS angstrom
-1.7031 3.0215 4.1583
1.7031 -3.0215 4.1583
1.7031 3.0215 -4.1583
! ρ: 7.389 g cm⁻³
! Calculated volume: 85.6 Å³ per cell
! Size of the total moment: 8.75 Bohr magnetons per cell
! Space-group type: Immm


## 2
! GGA-PBE Cr2AuBr, optimized geometry; values from VASP
&SYSTEM
  ibrav = 0, nat = 4, ntyp = 3
/
ATOMIC_SPECIES
Cr 52.00 Cr.upf
Au 196.97 Au.upf
Br 79.90 Br.upf
ATOMIC_POSITIONS crystal
Cr 0.0000 0.0000 0.0000
Cr 0.5000 0.2031 0.2031
Au 0.0000 0.6463 0.6463
Br 0.5000 0.3991 0.3991
CELL_PARAMETERS angstrom
3.5022 0.0000 0.0000
0.0000 1.9225 6.6397
0.0000 -1.9225 6.6397
! ρ: 7.073 g cm⁻³
! Calculated volume: 89.4 Å³ per cell
! Size of the total moment: 8.79 Bohr magnetons per cell
! Space-group type: Amm2


## 3
! GGA-PBE Cr2AuBr, optimized geometry; values from VASP
&SYSTEM
  ibrav = 0, nat = 4, ntyp = 3
/
ATOMIC_SPECIES
Cr 52.00 Cr.upf
Au 196.97 Au.upf
Br 79.90 Br.upf
ATOMIC_POSITIONS crystal
Cr 0.2468 0.2468 0.2468
Cr 0.7532 0.7532 0.7532
Au 0.5000 0.5000 0.5000
Br 0.0000 0.0000 0.0000
CELL_PARAMETERS angstrom
1.7510 1.0109 7.6239
-1.7510 1.0109 7.6239
0.0000 -2.0219 7.6239
! ρ: 7.808 g cm⁻³
! Calculated volume: 81.0 Å³ per cell
! Size of the total moment: 8.64 Bohr magnetons per cell
! Space-group type: R-3m


Which structure loses on stability? 1 does.


## 1
! GGA-PBE Cr2AuBr, optimized geometry; values from VASP
&SYSTEM
  ibrav = 0, nat = 4, ntyp = 3
/
ATOMIC_SPECIES
Cr 52.00 Cr.upf
Au 196.97 Au.upf
Br 79.90 Br.upf
ATOMIC_POSITIONS crystal
Cr 0.0000 0.0000 0.0000
Cr 0.2500 0.2500 0.2500
Au 0.5000 0.5000 0.5000
Br 0.7500 0.7500 0.7500
CELL_PARAMETERS angstrom
0.0000 3.4493 3.4493
3.4493 0.0000 3.4493
3.4493 3.4493 0.0000
! ρ: 7.705 g cm⁻³
! Calculated volume: 82.1 Å³ per cell
! Size of the total moment: 9.50 Bohr magnetons per cell
! Space-group type: F-43m


## 2
! GGA-PBE Cr2AuBr, optimized geometry; values from VASP
&SYSTEM
  ibrav = 0, nat = 4, ntyp = 3
/
ATOMIC_SPECIES
Cr 52.00 Cr.upf
Au 196.97 Au.upf
Br 79.90 Br.upf
ATOMIC_POSITIONS crystal
Cr 0.0000 0.0000 0.0000
Cr 0.2708 0.2708 0.2708
Au 0.7448 0.7448 0.7448
Br 0.5342 0.5342 0.5342
CELL_PARAMETERS angstrom
1.5561 0.8984 8.9722
-1.5561 0.8984 8.9722
0.0000 -1.7968 8.9722
! ρ: 8.404 g cm⁻³
! Calculated volume: 75.3 Å³ per cell
! Size of the total moment: 0.15 Bohr magnetons per cell
! Space-group type: R3m


Which structure loses on stability? 1 does.


## 1
! GGA-PBE Cr3AuBr, optimized geometry; values from VASP
&SYSTEM
  ibrav = 0, nat = 5, ntyp = 3
/
ATOMIC_SPECIES
Cr 52.00 Cr.upf
Au 196.97 Au.upf
Br 79.90 Br.upf
ATOMIC_POSITIONS crystal
Cr 0.0000 0.0000 0.5000
Cr 0.0000 0.5000 0.0000
Cr 0.5000 0.0000 0.0000
Au 0.0000 0.0000 0.0000
Br 0.5000 0.5000 0.5000
CELL_PARAMETERS angstrom
5.1089 0.0000 0.0000
0.0000 5.1089 0.0000
0.0000 0.0000 5.1089
! ρ: 5.390 g cm⁻³
! Calculated volume: 133.3 Å³ per cell
! Size of the total moment: 13.50 Bohr magnetons per cell
! Space-group type: Pm-3m


## 2
! GGA-PBE Cr3AuBr, optimized geometry; values from VASP
&SYSTEM
  ibrav = 0, nat = 5, ntyp = 3
/
ATOMIC_SPECIES
Cr 52.00 Cr.upf
Au 196.97 Au.upf
Br 79.90 Br.upf
ATOMIC_POSITIONS crystal
Cr 0.0000 0.0000 0.5000
Cr 0.0000 0.5000 0.0000
Cr 0.5000 0.0000 0.0000
Au 0.5000 0.5000 0.5000
Br 0.0000 0.0000 0.0000
CELL_PARAMETERS angstrom
4.3491 0.0000 0.0000
0.0000 4.3491 0.0000
0.0000 0.0000 4.3491
! ρ: 8.738 g cm⁻³
! Calculated volume: 82.3 Å³ per cell
! Size of the total moment: 0.00 Bohr magnetons per cell
! Space-group type: Pm-3m


Which structure loses on stability? 2 does.


## 1
! GGA-PBE Cs3Au2Br, optimized geometry; values from VASP
&SYSTEM
  ibrav = 0, nat = 6, ntyp = 3
/
ATOMIC_SPECIES
Cs 132.91 Cs.upf
Au 196.97 Au.upf
Br 79.90 Br.upf
ATOMIC_POSITIONS crystal
Cs 0.0000 0.0000 0.0000
Cs 0.0000 0.0000 0.3351
Cs 0.0000 0.0000 0.6649
Au 0.5000 0.5000 0.1646
Au 0.5000 0.5000 0.8354
Br 0.5000 0.5000 0.5000
CELL_PARAMETERS angstrom
4.3694 0.0000 0.0000
0.0000 4.3694 0.0000
0.0000 0.0000 13.1666
! ρ: 5.764 g cm⁻³
! Calculated volume: 251.4 Å³ per cell
! Size of the total moment: 0.00 Bohr magnetons per cell
! Space-group type: P4/mmm


## 2
! GGA-PBE Cs3Au2Br, optimized geometry; values from VASP
&SYSTEM
  ibrav = 0, nat = 6, ntyp = 3
/
ATOMIC_SPECIES
Cs 132.91 Cs.upf
Au 196.97 Au.upf
Br 79.90 Br.upf
ATOMIC_POSITIONS crystal
Cs 0.0000 0.0000 0.0000
Cs 0.3355 0.3355 0.0000
Cs 0.6645 0.6645 0.0000
Au 0.1666 0.6666 0.5000
Au 0.8334 0.3334 0.5000
Br 0.5000 0.0000 0.5000
CELL_PARAMETERS angstrom
-2.6111 3.6923 7.8631
2.6111 -3.6923 7.8631
2.6111 3.6923 -7.8631
! ρ: 4.778 g cm⁻³
! Calculated volume: 303.2 Å³ per cell
! Size of the total moment: 0.00 Bohr magnetons per cell
! Space-group type: Immm


Which structure loses on stability? 1 does.


## 1
! GGA-PBE Cs5Au2Br, optimized geometry; values from VASP
&SYSTEM
  ibrav = 0, nat = 16, ntyp = 3
/
ATOMIC_SPECIES
Cs 132.91 Cs.upf
Au 196.97 Au.upf
Br 79.90 Br.upf
ATOMIC_POSITIONS crystal
Cs 0.0494 0.9506 0.6208
Cs 0.0494 0.9506 0.8792
Cs 0.2515 0.7485 0.2500
Cs 0.3345 0.6655 0.5718
Cs 0.3345 0.6655 0.9282
Cs 0.6655 0.3345 0.0718
Cs 0.6655 0.3345 0.4282
Cs 0.7485 0.2515 0.7500
Cs 0.9506 0.0494 0.1208
Cs 0.9506 0.0494 0.3792
Au 0.1592 0.8408 0.0572
Au 0.1592 0.8408 0.4428
Au 0.8408 0.1592 0.5572
Au 0.8408 0.1592 0.9428
Br 0.2169 0.7831 0.7500
Br 0.7831 0.2169 0.2500
CELL_PARAMETERS angstrom
3.6462 -8.3849 0.0000
3.6462 8.3849 0.0000
0.0000 0.0000 17.5079
! ρ: 3.531 g cm⁻³
! Calculated volume: 1070.5 Å³ per cell
! Size of the total moment: 0.00 Bohr magnetons per cell
! Space-group type: Cmcm


## 2
! GGA-PBE Cs5Au2Br, optimized geometry; values from VASP
&SYSTEM
  ibrav = 0, nat = 16, ntyp = 3
/
ATOMIC_SPECIES
Cs 132.91 Cs.upf
Au 196.97 Au.upf
Br 79.90 Br.upf
ATOMIC_POSITIONS crystal
Cs 0.0000 0.0000 0.0000
Cs 0.0354 0.5354 0.8488
Cs 0.1866 0.0354 0.5000
Cs 0.3134 0.8134 0.8488
Cs 0.4646 0.3134 0.5000
Cs 0.5000 0.5000 0.0000
Cs 0.5354 0.6866 0.5000
Cs 0.6866 0.1866 0.1512
Cs 0.8134 0.9646 0.5000
Cs 0.9646 0.4646 0.1512
Au 0.1091 0.3909 0.5000
Au 0.3909 0.8909 0.2819
Au 0.6091 0.1091 0.7181
Au 0.8909 0.6091 0.5000
Br 0.2500 0.2500 0.0000
Br 0.7500 0.7500 0.0000
CELL_PARAMETERS angstrom
-4.7997 4.7997 8.8702
4.7997 -4.7997 8.8702
4.7997 4.7997 -8.8702
! ρ: 4.625 g cm⁻³
! Calculated volume: 817.4 Å³ per cell
! Size of the total moment: 0.00 Bohr magnetons per cell
! Space-group type: I4/mcm


Which structure loses on stability? 2 does.